Entry 1:
DFT (PBE-GGA) results for crystalline CsRb2FeBr5 at its relaxed geometry.

Output
- Calculated total energy: -3.519 eV/atom
- D(E_F): 6.795 states/eV/f.u.
- V: 38.6 Å³/atom
- E_form (uncorrected): -1.340 eV/atom

```
data_CsRb2FeBr5
_cell_length_a 9.553
_cell_length_b 9.553
_cell_length_c 10.182
_cell_angle_alpha 117.98
_cell_angle_beta 117.98
_cell_angle_gamma 90.00
_symmetry_space_group_name_H-M 'P 1'
_symmetry_Int_Tables_number 1
loop_
_symmetry_equiv_pos_as_xyz
'x,y,z'
loop_
_atom_site_label
_atom_site_fract_x
_atom_site_fract_y
_atom_site_fract_z
Br1 0.500 0.500 0.000
Br2 0.208 0.991 0.698
Br3 0.009 0.509 0.302
Br4 0.292 0.792 0.302
Br5 0.000 0.000 0.000
Rb1 0.164 0.336 0.000
Cs1 0.250 0.250 0.500
Rb2 0.336 0.836 0.000
Rb3 0.664 0.164 0.000
Cs2 0.750 0.750 0.500
Fe1 0.750 0.250 0.500
Rb4 0.836 0.664 0.000
Br6 0.708 0.208 0.698
Br7 0.509 0.292 0.302
Br8 0.491 0.708 0.698
Br9 0.792 0.009 0.302
Br10 0.991 0.491 0.698
Fe2 0.250 0.750 0.500
```

=====

Entry 2:
DFT (PBE-GGA) results for crystalline CsRbFe2Br8 at its relaxed geometry.

Output
- Calculated total energy: -3.643 eV/atom
- V: 43.8 Å³/atom
- E_form (uncorrected): -0.966 eV/atom

```
data_CsRbFe2Br8
_cell_length_a 6.905
_cell_length_b 6.905
_cell_length_c 11.895
_cell_angle_alpha 87.38
_cell_angle_beta 87.38
_cell_angle_gamma 68.32
_symmetry_space_group_name_H-M 'P 1'
_symmetry_Int_Tables_number 1
loop_
_symmetry_equiv_pos_as_xyz
'x,y,z'
loop_
_atom_site_label
_atom_site_fract_x
_atom_site_fract_y
_atom_site_fract_z
Br1 0.331 0.331 0.591
Br2 0.803 0.312 0.756
Br3 0.684 0.684 0.075
Rb1 0.000 0.000 0.000
Fe1 0.566 0.566 0.243
Br4 0.669 0.669 0.409
Br5 0.312 0.803 0.756
Cs1 0.000 0.000 0.500
Br6 0.688 0.197 0.244
Br7 0.316 0.316 0.925
Br8 0.197 0.688 0.244
Fe2 0.434 0.434 0.757
```

=====

Entry 3:
DFT (PBE-GGA) results for crystalline Cs2RbFeBr6 at its relaxed geometry.

Output
- Calculated total energy: -3.270 eV/atom
- D(E_F): 19.867 states/eV/f.u.
- V: 37.5 Å³/atom
- E_form (uncorrected): -1.152 eV/atom

```
data_Cs2RbFeBr6
_cell_length_a 8.096
_cell_length_b 8.096
_cell_length_c 8.096
_cell_angle_alpha 60.00
_cell_angle_beta 60.00
_cell_angle_gamma 90.00
_symmetry_space_group_name_H-M 'P 1'
_symmetry_Int_Tables_number 1
loop_
_symmetry_equiv_pos_as_xyz
'x,y,z'
loop_
_atom_site_label
_atom_site_fract_x
_atom_site_fract_y
_atom_site_fract_z
Br1 0.286 0.286 0.000
Br2 0.286 0.286 0.429
Cs1 0.250 0.750 0.500
Br3 0.714 0.714 0.571
Br4 0.286 0.714 0.000
Br5 0.714 0.714 0.000
Fe1 0.500 0.500 0.000
Cs2 0.750 0.250 0.500
Br6 0.714 0.286 0.000
Rb1 0.000 0.000 0.000
```

=====

Entry 4:
DFT (PBE-GGA) results for crystalline CsRb2FeBr6 at its relaxed geometry.

Output
- Calculated total energy: -3.222 eV/atom
- D(E_F): 37.052 states/eV/f.u.
- V: 38.9 Å³/atom
- E_form (uncorrected): -1.093 eV/atom

```
data_CsRb2FeBr6
_cell_length_a 8.192
_cell_length_b 8.192
_cell_length_c 8.192
_cell_angle_alpha 60.00
_cell_angle_beta 60.00
_cell_angle_gamma 90.00
_symmetry_space_group_name_H-M 'P 1'
_symmetry_Int_Tables_number 1
loop_
_symmetry_equiv_pos_as_xyz
'x,y,z'
loop_
_atom_site_label
_atom_site_fract_x
_atom_site_fract_y
_atom_site_fract_z
Br1 0.711 0.289 0.000
Br2 0.711 0.711 0.578
Br3 0.289 0.289 0.000
Cs1 0.000 0.000 0.000
Br4 0.289 0.711 0.000
Rb1 0.250 0.750 0.500
Br5 0.289 0.289 0.422
Fe1 0.500 0.500 0.000
Rb2 0.750 0.250 0.500
Br6 0.711 0.711 0.000
```

=====

Entry 5:
DFT (PBE-GGA) results for crystalline CsRbFeBr4 at its relaxed geometry.

Output
- Calculated total energy: -3.654 eV/atom
- D(E_F): 6.733 states/eV/f.u.
- V: 40.1 Å³/atom
- E_form (uncorrected): -1.229 eV/atom

```
data_CsRbFeBr4
_cell_length_a 7.505
_cell_length_b 7.781
_cell_length_c 10.198
_cell_angle_alpha 90.00
_cell_angle_beta 109.45
_cell_angle_gamma 90.00
_symmetry_space_group_name_H-M 'P 1'
_symmetry_Int_Tables_number 1
loop_
_symmetry_equiv_pos_as_xyz
'x,y,z'
loop_
_atom_site_label
_atom_site_fract_x
_atom_site_fract_y
_atom_site_fract_z
Fe1 0.202 0.750 0.294
Br1 0.631 0.250 0.455
Br2 0.408 0.750 0.153
Cs1 0.299 0.250 0.082
Br3 0.991 0.999 0.238
Rb1 0.209 0.250 0.540
Br4 0.991 0.501 0.238
Rb2 0.791 0.750 0.460
Br5 0.369 0.750 0.545
Br6 0.592 0.250 0.847
Br7 0.009 0.001 0.762
Fe2 0.798 0.250 0.706
Cs2 0.701 0.750 0.918
Br8 0.009 0.499 0.762
```

=====

Entry 6:
DFT (PBE-GGA) results for crystalline CsFeRuBr6 at its relaxed geometry.

Output
- Calculated total energy: -3.737 eV/atom
- D(E_F): 9.307 states/eV/f.u.
- V: 33.8 Å³/atom
- E_form (uncorrected): -0.556 eV/atom

```
data_CsFeRuBr6
_cell_length_a 6.522
_cell_length_b 6.522
_cell_length_c 8.255
_cell_angle_alpha 90.00
_cell_angle_beta 90.00
_cell_angle_gamma 60.00
_symmetry_space_group_name_H-M 'P 1'
_symmetry_Int_Tables_number 1
loop_
_symmetry_equiv_pos_as_xyz
'x,y,z'
loop_
_atom_site_label
_atom_site_fract_x
_atom_site_fract_y
_atom_site_fract_z
Br1 0.009 0.363 0.332
Ru1 0.667 0.667 0.500
Br2 0.628 0.009 0.332
Br3 0.628 0.363 0.668
Br4 0.363 0.628 0.332
Br5 0.009 0.628 0.668
Br6 0.363 0.009 0.668
Fe1 0.333 0.333 0.500
Cs1 0.000 0.000 0.000
```

=====

Entry 7:
DFT (PBE-GGA) results for crystalline CsScFe2Br8 at its relaxed geometry.

Output
- Calculated total energy: -4.167 eV/atom
- D(E_F): 12.727 states/eV/f.u.
- V: 36.6 Å³/atom
- E_form (uncorrected): -1.042 eV/atom

```
data_CsScFe2Br8
_cell_length_a 6.764
_cell_length_b 6.764
_cell_length_c 10.421
_cell_angle_alpha 83.89
_cell_angle_beta 83.89
_cell_angle_gamma 68.10
_symmetry_space_group_name_H-M 'P 1'
_symmetry_Int_Tables_number 1
loop_
_symmetry_equiv_pos_as_xyz
'x,y,z'
loop_
_atom_site_label
_atom_site_fract_x
_atom_site_fract_y
_atom_site_fract_z
Br1 0.733 0.225 0.188
Br2 0.225 0.733 0.188
Sc1 0.000 0.000 0.000
Fe1 0.382 0.382 0.802
Br3 0.682 0.682 0.406
Br4 0.763 0.763 0.001
Cs1 0.000 0.000 0.500
Br5 0.318 0.318 0.594
Br6 0.775 0.267 0.812
Br7 0.237 0.237 0.999
Fe2 0.618 0.618 0.198
Br8 0.267 0.775 0.812
```

=====

Entry 8:
DFT (PBE-GGA) results for crystalline CsFeSe2Br at its relaxed geometry.

Output
- Calculated total energy: -2.393 eV/atom
- D(E_F): 10.178 states/eV/f.u.
- V: 42.3 Å³/atom
- E_form (uncorrected): 1.198 eV/atom
- Distance to the lowest polymorph of the same formula: 8.501 eV per formula unit

```
data_CsFeSe2Br
_cell_length_a 5.706
_cell_length_b 5.706
_cell_length_c 6.491
_cell_angle_alpha 90.00
_cell_angle_beta 90.00
_cell_angle_gamma 90.00
_symmetry_space_group_name_H-M 'P 1'
_symmetry_Int_Tables_number 1
loop_
_symmetry_equiv_pos_as_xyz
'x,y,z'
loop_
_atom_site_label
_atom_site_fract_x
_atom_site_fract_y
_atom_site_fract_z
Fe1 0.500 0.500 0.500
Br1 0.000 0.000 0.500
Se1 0.500 0.000 0.000
Cs1 0.000 0.000 0.000
Se2 0.000 0.500 0.000
```

=====

Question: Which of these has the highest E_form (uncorrected)?
Answer: CsFeSe2Br

=====

Question: Among the records above, which one has the lowest V?
Answer: CsFeRuBr6

=====

Question: Among the records above, which one has the lowest E_form (uncorrected)?
Answer: CsRb2FeBr5